First-principles (GGA+U) data for an optimized crystal structure of K2CoGeO4, as listed in Alexandria.

Summary:
Its space-group type is Imma, No. 74. The total energy is -83.97 eV/cell. The value obtained for the volume is 203 Å³ per cell.

Unit cell a=6.600 b=6.600 c=6.815 alpha=121.06 beta=121.06 gamma=89.99
Site moments in Bohr magnetons follow the coordinates.
Fractional coordinates of all 16 atoms:
1 K 0.500 0.000 0.000  0.01
2 K 0.500 0.000 0.500  0.01
3 K 0.000 0.000 0.500  0.00
4 K 0.500 0.500 0.000  0.00
5 Co 0.000 0.500 0.000  2.68
6 Co 0.000 0.500 0.500  2.68
7 Ge 0.500 0.500 0.500  0.00
8 Ge 0.000 0.000 0.000  0.00
9 O 0.174 0.761 0.968  0.09
10 O 0.739 0.326 0.532  0.09
11 O 0.261 0.674 0.468  0.09
12 O 0.826 0.239 0.032  0.09
13 O 0.762 0.738 0.944  0.03
14 O 0.762 0.738 0.556  0.03
15 O 0.238 0.262 0.444  0.03
16 O 0.238 0.262 0.056  0.03